TaZn2Ga | GGA-PBE | relaxed

The magnetic moment comes out at 0.00 μB/cell. For the raw total energy, the calculation gives -4.49 eV/atom.

The space group is P4/mmm (No. 123) and the conventional cell measures 3.895, 3.895 and 4.014 Å, with angles of 90.00, 90.00 and 90.00 degrees. Symmetry generates all atoms from Ta at (0.000, 0.000, 0.000), Zn at (0.000, 0.500, 0.500) and Ga at (0.500, 0.500, 0.000).



Zr2TaGa | GGA-PBE | relaxed

The magnetic moment comes out at 0.46 μB/cell. For the raw total energy, the calculation gives -7.99 eV/atom.

The space group is F-43m (No. 216) and the conventional cell measures 6.778, 6.778 and 6.778 Å, with angles of 90.00, 90.00 and 90.00 degrees. Symmetry generates all atoms from Zr at (0.000, 0.000, 0.000), Zr at (0.250, 0.250, 0.250), Ta at (0.250, 0.250, 0.750) and Ga at (0.000, 0.000, 0.500).



ZrTa3Ga2 | GGA-PBE | relaxed

The magnetic moment comes out at 0.01 μB/cell. For the raw total energy, the calculation gives -8.65 eV/atom.

The space group is Fmm2 (No. 42) and the conventional cell measures 5.186, 9.101 and 9.000 Å, with angles of 90.00, 90.00 and 90.00 degrees. Symmetry generates all atoms from Zr at (0.000, 0.000, 0.000), Ta at (0.000, 0.000, 0.688), Ta at (0.000, 0.154, 0.345) and Ga at (0.250, 0.250, 0.097).



ZrTaGa2 | GGA-PBE | relaxed

The magnetic moment comes out at 2.85 μB/cell. For the raw total energy, the calculation gives -6.37 eV/atom.

The space group is F-43m (No. 216) and the conventional cell measures 6.640, 6.640 and 6.640 Å, with angles of 90.00, 90.00 and 90.00 degrees. Symmetry generates all atoms from Zr at (0.000, 0.000, 0.000), Ta at (0.250, 0.250, 0.750), Ga at (0.000, 0.000, 0.500) and Ga at (0.250, 0.250, 0.250).



Question: raw total energy of number 4 (ZrTaGa2)?
Answer: -6.37 eV/atom